First-principles (PBE) data for an optimized crystal structure of CsPbI3, as listed in Alexandria.

The structure belongs to space group Pnma (No. 62); the cell edges are 9.1080, 12.6415 and 8.6863 Å and the angles 90.00°, 90.00° and 90.00°. The distinct sites, in fractional coordinates, are Cs at (0.0728, 0.2500, 0.0241), Pb at (0.0000, 0.0000, 0.5000), I at (0.0089, 0.7500, 0.4203) and I at (0.2000, 0.5396, 0.8043).

The total magnetization is 0.00 μB per cell. As for the formation energy from raw total energies: -493 kJ/mol of formula units.



First-principles (PBE) data for an optimized crystal structure of ZnSiPd2W, as listed in Alexandria.

The structure belongs to space group P4/mmm (No. 123); the cell edges are 4.5454, 4.5454 and 4.3387 Å and the angles 90.00°, 90.00° and 90.00°. The distinct sites, in fractional coordinates, are Zn at (0.0000, 0.0000, 0.0000), Si at (0.0000, 0.0000, 0.5000), Pd at (0.0000, 0.5000, 0.0000) and W at (0.5000, 0.5000, 0.5000).

The total magnetization is 2.48 μB per cell. As for the formation energy from raw total energies: 560 kJ/mol of formula units.